This record from OQMD describes a relaxed structure of Sm2NiP2Pd. The functional is PBE.

Unit cell a=4.0870 b=4.0870 c=7.8651 alpha=90.00 beta=90.00 gamma=120.00
Space group P-6m2 (No. 187)
Asymmetric unit:
Sm: 0.0000 0.0000 0.2428
Ni: 0.6667 0.3333 0.0000
P: 0.3333 0.6667 0.0000
P: 0.6667 0.3333 0.5000
Pd: 0.3333 0.6667 0.5000

Summary:
For the total energy, the calculation gives -38.18 eV per cell.



This record from OQMD describes a relaxed structure of NbInNiPd. The functional is PBE.

Unit cell a=6.3801 b=6.3801 c=6.3801 alpha=90.00 beta=90.00 gamma=90.00
Space group F-43m (No. 216)
Asymmetric unit:
Nb: 0.0000 0.0000 0.0000
In: 0.2500 0.2500 0.2500
Ni: 0.0000 0.0000 0.5000
Pd: 0.2500 0.2500 0.7500

Summary:
Its energy above the most stable polymorph in this dataset is 195 meV per atom.



This record from OQMD describes a relaxed structure of GdSbTe. The functional is PBE.

Unit cell a=7.3898 b=7.3898 c=7.3898 alpha=90.00 beta=90.00 gamma=90.00
Space group F-43m (No. 216)
Asymmetric unit:
Gd: 0.0000 0.0000 0.0000
Sb: 0.2500 0.2500 0.7500
Te: 0.2500 0.2500 0.2500

Summary:
For the total energy, the calculation gives -54.72 eV per cell.



This record from OQMD describes a relaxed structure of Sc2Co3Si5. The functional is PBE.

Unit cell a=9.2060 b=11.2721 c=5.2953 alpha=90.00 beta=90.00 gamma=90.00
Space group Ibam (No. 72)
Asymmetric unit:
Sc: 0.2311 0.1407 0.0000
Co: 0.0000 0.5000 0.2500
Co: 0.0977 0.1420 0.5000
Si: 0.0000 0.0000 0.2500
Si: 0.0000 0.2855 0.2500
Si: 0.1708 0.4054 0.0000

Summary:
Its energy above the most stable polymorph in this dataset is 10 meV per atom.